No. 1
PrHo2TmAu4 | GGA-PBE | optimized geometry

Summary:
* mass density: 12.46 g/cm³
* electronic total energy: -4.78 eV/atom
* energy of formation from the pure elements: -0.838 eV/atom
* total magnetic moment: 0.000 μB/cell

Geometry as CIF:
```
data_PrHo2TmAu4
_cell_length_a 5.0763
_cell_length_b 5.0763
_cell_length_c 25.5672
_cell_angle_alpha 90.00
_cell_angle_beta 90.00
_cell_angle_gamma 120.00
_symmetry_space_group_name_H-M 'R -3 m'
_symmetry_Int_Tables_number 166
_symmetry_space_group_name_Hall '-R 3 2"'
loop_
_atom_site_label
_atom_site_type_symbol
_atom_site_fract_x
_atom_site_fract_y
_atom_site_fract_z
Pr1 Pr 0.0000 0.0000 0.0000
Ho1 Ho 0.0000 0.0000 0.2479
Tm1 Tm 0.0000 0.0000 0.5000
Au1 Au 0.0000 0.0000 0.1288
Au2 Au 0.0000 0.0000 0.3833
```

No. 2
PrHoZnAu | GGA-PBE | optimized geometry

Summary:
* mass density: 9.64 g/cm³
* electronic total energy: -4.02 eV/atom
* energy of formation from the pure elements: -0.542 eV/atom
* total magnetic moment: 0.000 μB/cell

Geometry as CIF:
```
data_PrHoZnAu
_cell_length_a 7.3148
_cell_length_b 7.3148
_cell_length_c 7.3148
_cell_angle_alpha 90.00
_cell_angle_beta 90.00
_cell_angle_gamma 90.00
_symmetry_space_group_name_H-M 'F -4 3 m'
_symmetry_Int_Tables_number 216
_symmetry_space_group_name_Hall 'F -4 2 3'
loop_
_atom_site_label
_atom_site_type_symbol
_atom_site_fract_x
_atom_site_fract_y
_atom_site_fract_z
Pr1 Pr 0.0000 0.0000 0.0000
Ho1 Ho 0.0000 0.0000 0.5000
Zn1 Zn 0.2500 0.2500 0.2500
Au1 Au 0.2500 0.2500 0.7500
```

No. 3
PrHoZnAu | GGA-PBE | optimized geometry

Summary:
* mass density: 9.72 g/cm³
* electronic total energy: -4.05 eV/atom
* energy of formation from the pure elements: -0.570 eV/atom
* total magnetic moment: 0.001 μB/cell

Geometry as CIF:
```
data_PrHoZnAu
_cell_length_a 3.6500
_cell_length_b 3.6500
_cell_length_c 7.2871
_cell_angle_alpha 90.00
_cell_angle_beta 90.00
_cell_angle_gamma 90.00
_symmetry_space_group_name_H-M 'P 4 m m'
_symmetry_Int_Tables_number 99
loop_
_symmetry_equiv_pos_as_xyz
'x,y,z'
'-y,x,z'
'-x,-y,z'
'y,-x,z'
'-x,y,z'
'y,x,z'
'x,-y,z'
'-y,-x,z'
loop_
_atom_site_label
_atom_site_type_symbol
_atom_site_fract_x
_atom_site_fract_y
_atom_site_fract_z
Pr1 Pr 0.0000 0.0000 0.0000
Ho1 Ho 0.0000 0.0000 0.4960
Zn1 Zn 0.5000 0.5000 0.2656
Au1 Au 0.5000 0.5000 0.7141
```

No. 4
Ho2PtAu | GGA-PBE | optimized geometry

Summary:
* mass density: 12.03 g/cm³
* electronic total energy: -5.60 eV/atom
* energy of formation from the pure elements: -0.983 eV/atom
* total magnetic moment: 0.000 μB/cell

Geometry as CIF:
```
data_Ho2PtAu
_cell_length_a 4.0623
_cell_length_b 4.0623
_cell_length_c 20.9184
_cell_angle_alpha 90.00
_cell_angle_beta 90.00
_cell_angle_gamma 120.00
_symmetry_space_group_name_H-M 'R 3 m'
_symmetry_Int_Tables_number 160
_symmetry_space_group_name_Hall 'R 3 -2"'
loop_
_atom_site_label
_atom_site_type_symbol
_atom_site_fract_x
_atom_site_fract_y
_atom_site_fract_z
Ho1 Ho 0.0000 0.0000 0.0000
Ho2 Ho 0.0000 0.0000 0.1825
Pt1 Pt 0.0000 0.0000 0.5904
Au1 Au 0.0000 0.0000 0.4255
```

Please write out number 1 again, unchanged.
PrHo2TmAu4 | GGA-PBE | optimized geometry

Summary:
* mass density: 12.46 g/cm³
* electronic total energy: -4.78 eV/atom
* energy of formation from the pure elements: -0.838 eV/atom
* total magnetic moment: 0.000 μB/cell

Geometry as CIF:
```
data_PrHo2TmAu4
_cell_length_a 5.0763
_cell_length_b 5.0763
_cell_length_c 25.5672
_cell_angle_alpha 90.00
_cell_angle_beta 90.00
_cell_angle_gamma 120.00
_symmetry_space_group_name_H-M 'R -3 m'
_symmetry_Int_Tables_number 166
_symmetry_space_group_name_Hall '-R 3 2"'
loop_
_atom_site_label
_atom_site_type_symbol
_atom_site_fract_x
_atom_site_fract_y
_atom_site_fract_z
Pr1 Pr 0.0000 0.0000 0.0000
Ho1 Ho 0.0000 0.0000 0.2479
Tm1 Tm 0.0000 0.0000 0.5000
Au1 Au 0.0000 0.0000 0.1288
Au2 Au 0.0000 0.0000 0.3833
```

Question: Which value of mass density does entry 3 give?
Answer: 9.72 g/cm³